(1)
DFT (PBE) results for Cs2HoPtO4 after structural relaxation.

Summary:
density of states at the Fermi level = 15.3 states/eV per cell
crystal system = orthorhombic

POSCAR file:
```
Cs2HoPtO4
1.0
6.123 0.000 0.000
3.062 7.232 0.000
3.062 0.000 11.869
Pt Ho O Cs
2 2 8 4
Cartesian
3.062 0.000 0.000 Pt
4.592 3.616 5.934 Pt
7.654 3.616 5.934 Ho
0.000 0.000 0.000 Ho
6.032 2.207 6.024 O
4.501 1.408 0.089 O
3.153 2.207 5.845 O
6.032 5.024 5.845 O
10.624 5.823 11.780 O
9.276 5.024 6.024 O
4.684 5.823 0.089 O
4.684 1.408 11.780 O
7.654 3.616 1.581 Cs
6.123 0.000 4.354 Cs
7.654 3.616 10.288 Cs
3.062 0.000 7.515 Cs
```

(2)
DFT (PBE) results for CsHoRe2O8 after structural relaxation.

Summary:
density of states at the Fermi level = 6.1 states/eV per cell
crystal system = trigonal

POSCAR file:
```
CsHoRe2O8
1.0
6.053 0.000 0.000
-3.027 5.242 0.000
0.000 0.000 8.454
O Ho Cs Re
8 1 1 2
Cartesian
0.000 3.495 7.945 O
4.499 0.891 2.885 O
3.032 3.451 2.885 O
3.027 1.747 0.509 O
-0.006 1.791 5.568 O
-1.472 4.352 5.568 O
1.548 0.901 2.885 O
1.478 4.341 5.568 O
0.000 0.000 4.227 Ho
0.000 0.000 0.000 Cs
3.027 1.747 2.276 Re
0.000 3.495 6.178 Re
```

(3)
DFT (PBE) results for Cs2HoRhO4 after structural relaxation.

Summary:
density of states at the Fermi level = 8.8 states/eV per cell
crystal system = orthorhombic

POSCAR file:
```
Cs2HoRhO4
1.0
5.921 0.000 0.000
2.960 6.449 0.000
2.960 0.000 11.398
O Cs Ho Rh
8 4 2 2
Cartesian
5.851 4.352 4.801 O
4.371 1.127 0.898 O
10.292 5.323 10.500 O
4.509 5.323 0.898 O
3.029 2.098 4.801 O
5.851 2.098 6.597 O
8.950 4.352 6.597 O
4.509 1.127 10.500 O
2.960 0.000 7.244 Cs
7.401 3.225 9.854 Cs
7.401 3.225 1.545 Cs
5.921 0.000 4.155 Cs
7.401 3.225 5.699 Ho
0.000 0.000 0.000 Ho
2.960 0.000 0.000 Rh
4.440 3.225 5.699 Rh
```

Number 1: size of the total moment 1.032 μB/f.u., formation energy (no corrections) -1.455 eV per atom. Number 2: size of the total moment 1.999 μB/f.u., formation energy (no corrections) -2.031 eV per atom. Number 3: size of the total moment 0.000 μB/f.u., formation energy (no corrections) -1.432 eV per atom.